Entry 1:
CoNi8B2: optimized geometry, PBE.

Lattice parameters (Å, degrees): 3.875 5.641 5.641 111.50 98.16 98.16
Atoms (fractional coordinates):
B (0.000, 0.682, 0.318)
B (0.000, 0.318, 0.682)
Ni (0.913, 0.672, 0.932)
Ni (0.500, 0.749, 0.251)
Ni (0.699, 0.388, 0.388)
Ni (0.087, 0.068, 0.328)
Ni (0.301, 0.612, 0.612)
Ni (0.500, 0.251, 0.749)
Ni (0.913, 0.932, 0.672)
Ni (0.087, 0.328, 0.068)
Co (0.500, 0.000, 0.000)

Values from the calculation:
Magnetic moment, μB per formula unit: 3.29
Calculated total energy, eV per atom: -6.156
Calculated volume, Å³/atom: 10.09
Space group: C2/m, No. 12
Density, g/cm³: 8.2
ΔH_f (0 K), meV/atom: -92
Fermi-level density of states, states/eV/cell: 12.3

***

Entry 2:
PuTa2H7: optimized geometry, PBE.

Lattice parameters (Å, degrees): 3.268 5.410 5.733 118.15 90.00 90.00
Atoms (fractional coordinates):
H (0.000, 0.597, 0.194)
H (0.500, 0.982, 0.290)
H (0.500, 0.307, 0.290)
H (0.500, 0.018, 0.710)
H (0.500, 0.500, 0.000)
H (0.500, 0.693, 0.710)
H (0.000, 0.403, 0.806)
Ta (0.500, 0.683, 0.366)
Ta (0.500, 0.317, 0.634)
Pu (0.000, 0.000, 0.000)

Values from the calculation:
Magnetic moment, μB per formula unit: 6.04
Calculated total energy, eV per atom: -6.236
Calculated volume, Å³/atom: 8.94
Space group: Cmmm, No. 65
Density, g/cm³: 11.4
Fermi-level density of states, states/eV/cell: 9.8

***

Entry 3:
HoTm2TlO: optimized geometry, PBE.

Lattice parameters (Å, degrees): 4.700 4.700 4.776 90.00 90.00 90.00
Atoms (fractional coordinates):
Tm (0.500, 0.000, 0.000)
Tm (0.000, 0.500, 0.000)
Ho (0.000, 0.000, 0.500)
Tl (0.500, 0.500, 0.500)
O (0.000, 0.000, 0.000)

Values from the calculation:
Magnetic moment, μB per formula unit: 0.00
Calculated total energy, eV per atom: -5.498
Calculated volume, Å³/atom: 21.10
Space group: P4/mmm, No. 123
ΔE_f (raw), eV/atom: -1.33
Density, g/cm³: 11.4
Fermi-level density of states, states/eV/cell: 1.7